[1]
Here is a geometry-optimized Pr3S3O structure from the Alexandria database. Energies are from PBE.

Computed properties:
The value obtained for the magnetic moment is 0.000 μB per atom. The value obtained for the uncorrected formation energy is -2.202 eV/atom. The value obtained for the density of states at the Fermi level is 0.409 states/eV per atom. The uncorrected energy comes out at -6.73 eV per atom.

a = 7.219 Å, b = 7.219 Å, c = 7.036 Å
α = 94.54°, β = 94.54°, γ = 112.00°
Positions (direct):
Pr: 0.525 0.829 0.714
Pr: 0.475 0.171 0.286
Pr: 0.829 0.525 0.714
Pr: 0.171 0.475 0.286
Pr: 0.097 0.097 0.799
Pr: 0.903 0.903 0.201
S: 0.162 0.838 0.500
S: 0.391 0.391 0.649
S: 0.838 0.162 0.500
S: 0.609 0.609 0.351
S: 0.233 0.767 0.000
S: 0.767 0.233 0.000
O: 0.812 0.812 0.872
O: 0.188 0.188 0.128



[2]
Here is a geometry-optimized Pr2S2O structure from the Alexandria database. Energies are from PBE.

Computed properties:
The value obtained for the magnetic moment is 0.000 μB per atom. The value obtained for the uncorrected formation energy is -2.546 eV/atom. The value obtained for the density of states at the Fermi level is 0.000 states/eV per atom. The uncorrected energy comes out at -7.10 eV per atom.

a = 7.270 Å, b = 7.145 Å, c = 8.647 Å
α = 81.68°, β = 90.00°, γ = 90.00°
Positions (direct):
O: 0.088 0.351 0.618
O: 0.912 0.649 0.382
O: 0.412 0.851 0.618
O: 0.588 0.149 0.382
S: 0.854 0.938 0.675
S: 0.225 0.528 0.922
S: 0.275 0.028 0.922
S: 0.146 0.062 0.325
S: 0.354 0.562 0.325
S: 0.646 0.438 0.675
S: 0.725 0.972 0.078
S: 0.775 0.472 0.078
Pr: 0.634 0.813 0.418
Pr: 0.134 0.687 0.582
Pr: 0.556 0.751 0.862
Pr: 0.056 0.749 0.138
Pr: 0.366 0.187 0.582
Pr: 0.944 0.251 0.862
Pr: 0.444 0.249 0.138
Pr: 0.866 0.313 0.418



[3]
Here is a geometry-optimized Pr2SO6 structure from the Alexandria database. Energies are from PBE.

Computed properties:
The value obtained for the magnetic moment is 0.000 μB per atom. The value obtained for the uncorrected formation energy is -2.651 eV/atom. The value obtained for the density of states at the Fermi level is 0.000 states/eV per atom. The uncorrected energy comes out at -7.48 eV per atom.

a = 7.436 Å, b = 7.436 Å, c = 8.386 Å
α = 73.39°, β = 73.39°, γ = 33.59°
Positions (direct):
Pr: 0.675 0.661 0.916
Pr: 0.339 0.325 0.584
Pr: 0.661 0.675 0.416
Pr: 0.325 0.339 0.084
O: 0.736 0.266 0.605
O: 0.043 0.776 0.795
O: 0.266 0.736 0.105
O: 0.224 0.957 0.705
O: 0.776 0.043 0.295
O: 0.734 0.264 0.895
O: 0.264 0.734 0.395
O: 0.740 0.766 0.124
O: 0.766 0.740 0.624
O: 0.260 0.234 0.876
O: 0.234 0.260 0.376
O: 0.957 0.224 0.205
S: 0.060 0.940 0.250
S: 0.940 0.060 0.750



[4]
Here is a geometry-optimized Pr5S4O structure from the Alexandria database. Energies are from PBE.

Computed properties:
The value obtained for the magnetic moment is 0.000 μB per atom. The value obtained for the uncorrected formation energy is -2.078 eV/atom. The value obtained for the density of states at the Fermi level is 0.426 states/eV per atom. The uncorrected energy comes out at -6.61 eV per atom.

a = 4.036 Å, b = 4.036 Å, c = 14.498 Å
α = 98.00°, β = 98.00°, γ = 90.00°
Positions (direct):
Pr: 0.500 0.500 0.000
Pr: 0.087 0.087 0.173
Pr: 0.913 0.913 0.827
Pr: 0.298 0.298 0.596
Pr: 0.702 0.702 0.404
S: 0.805 0.805 0.611
S: 0.400 0.400 0.801
S: 0.600 0.600 0.199
S: 0.195 0.195 0.389
O: 0.000 0.000 0.000



[5]
Here is a geometry-optimized PrSO structure from the Alexandria database. Energies are from PBE.

Computed properties:
The value obtained for the magnetic moment is 0.327 μB per atom. The value obtained for the uncorrected formation energy is -1.499 eV/atom. The value obtained for the density of states at the Fermi level is 0.656 states/eV per atom. The uncorrected energy comes out at -6.12 eV per atom.

a = 3.848 Å, b = 7.370 Å, c = 7.370 Å
α = 120.00°, β = 90.00°, γ = 90.00°
Positions (direct):
Pr: 0.500 0.333 0.667
Pr: 0.500 0.667 0.333
Pr: 0.000 0.000 0.000
S: 0.500 0.734 0.734
S: 0.500 0.266 0.000
S: 0.500 0.000 0.266
O: 0.000 0.000 0.559
O: 0.000 0.559 0.000
O: 0.000 0.441 0.441



[6]
Here is a geometry-optimized Pr3SO3 structure from the Alexandria database. Energies are from PBE.

Computed properties:
The value obtained for the magnetic moment is 0.000 μB per atom. The value obtained for the uncorrected formation energy is -2.937 eV/atom. The value obtained for the density of states at the Fermi level is 0.070 states/eV per atom. The uncorrected energy comes out at -7.70 eV per atom.

a = 6.944 Å, b = 6.944 Å, c = 7.944 Å
α = 64.08°, β = 64.08°, γ = 60.00°
Positions (direct):
S: 0.667 0.667 0.000
S: 0.333 0.333 0.000
Pr: 0.759 0.427 0.721
Pr: 0.573 0.908 0.279
Pr: 0.908 0.241 0.279
Pr: 0.241 0.573 0.279
Pr: 0.092 0.759 0.721
Pr: 0.427 0.092 0.721
O: 0.791 0.124 0.632
O: 0.453 0.791 0.632
O: 0.547 0.209 0.368
O: 0.209 0.876 0.368
O: 0.124 0.453 0.632
O: 0.876 0.547 0.368



[7]
Here is a geometry-optimized Pr3S2O2 structure from the Alexandria database. Energies are from PBE.

Computed properties:
The value obtained for the magnetic moment is 0.000 μB per atom. The value obtained for the uncorrected formation energy is -2.612 eV/atom. The value obtained for the density of states at the Fermi level is 0.422 states/eV per atom. The uncorrected energy comes out at -7.26 eV per atom.

a = 4.010 Å, b = 6.868 Å, c = 6.792 Å
α = 116.77°, β = 90.00°, γ = 106.97°
Positions (direct):
O: 0.186 0.372 0.326
O: 0.814 0.628 0.674
Pr: 0.000 0.000 0.000
Pr: 0.785 0.571 0.306
Pr: 0.215 0.429 0.694
S: 0.401 0.802 0.167
S: 0.599 0.198 0.833



[8]
Here is a geometry-optimized Pr6SO8 structure from the Alexandria database. Energies are from PBE.

Computed properties:
The value obtained for the magnetic moment is 0.000 μB per atom. The value obtained for the uncorrected formation energy is -3.164 eV/atom. The value obtained for the density of states at the Fermi level is 0.000 states/eV per atom. The uncorrected energy comes out at -7.99 eV per atom.

a = 6.840 Å, b = 6.840 Å, c = 7.527 Å
α = 62.97°, β = 62.97°, γ = 60.00°
Positions (direct):
O: 0.328 0.328 0.016
O: 0.126 0.443 0.638
O: 0.874 0.557 0.362
O: 0.443 0.792 0.638
O: 0.672 0.672 0.984
O: 0.792 0.126 0.638
O: 0.208 0.874 0.362
O: 0.557 0.208 0.362
Pr: 0.081 0.744 0.739
Pr: 0.564 0.919 0.261
Pr: 0.919 0.256 0.261
Pr: 0.256 0.564 0.261
Pr: 0.744 0.436 0.739
Pr: 0.436 0.081 0.739
S: 0.000 0.000 0.000



[9]
Here is a geometry-optimized PrSbS2O structure from the Alexandria database. Energies are from PBE.

Computed properties:
The value obtained for the magnetic moment is 0.000 μB per atom. The value obtained for the uncorrected formation energy is -1.631 eV/atom. The uncorrected energy comes out at -6.05 eV per atom.

a = 3.980 Å, b = 3.980 Å, c = 14.024 Å
α = 90.00°, β = 90.00°, γ = 90.00°
Positions (direct):
Sb: 0.000 0.500 0.866
Sb: 0.500 0.000 0.134
Pr: 0.500 0.000 0.590
Pr: 0.000 0.500 0.410
O: 0.000 0.000 0.500
O: 0.500 0.500 0.500
S: 0.000 0.500 0.694
S: 0.500 0.000 0.306
S: 0.000 0.500 0.115
S: 0.500 0.000 0.885



[10]
Here is a geometry-optimized PrScS2O8 structure from the Alexandria database. Energies are from PBE.

Computed properties:
The value obtained for the magnetic moment is 0.026 μB per atom. The value obtained for the uncorrected formation energy is -1.853 eV/atom. The value obtained for the density of states at the Fermi level is 0.244 states/eV per atom. The uncorrected energy comes out at -6.77 eV per atom.

a = 5.577 Å, b = 5.577 Å, c = 6.349 Å
α = 90.00°, β = 90.00°, γ = 120.00°
Positions (direct):
O: 0.185 0.370 0.791
O: 0.370 0.185 0.209
O: 0.815 0.185 0.209
O: 0.667 0.333 0.516
O: 0.185 0.815 0.791
O: 0.815 0.630 0.209
O: 0.333 0.667 0.484
O: 0.630 0.815 0.791
Sc: 0.000 0.000 0.000
Pr: 0.000 0.000 0.500
S: 0.667 0.333 0.284
S: 0.333 0.667 0.716



[11]
Here is a geometry-optimized Pr2ScS2O2 structure from the Alexandria database. Energies are from PBE.

Computed properties:
The value obtained for the magnetic moment is 0.000 μB per atom. The value obtained for the uncorrected formation energy is -2.617 eV/atom. The value obtained for the density of states at the Fermi level is 0.261 states/eV per atom. The uncorrected energy comes out at -7.48 eV per atom.

a = 4.112 Å, b = 4.112 Å, c = 7.991 Å
α = 104.91°, β = 104.91°, γ = 90.00°
Positions (direct):
O: 0.000 0.500 0.000
O: 0.500 0.000 0.000
Sc: 0.000 0.000 0.000
Pr: 0.370 0.370 0.740
Pr: 0.630 0.630 0.260
S: 0.175 0.175 0.350
S: 0.825 0.825 0.650



[12]
Here is a geometry-optimized PrScS2O structure from the Alexandria database. Energies are from PBE.

Computed properties:
The value obtained for the magnetic moment is 0.000 μB per atom. The value obtained for the uncorrected formation energy is -2.378 eV/atom. The value obtained for the density of states at the Fermi level is 0.096 states/eV per atom. The uncorrected energy comes out at -7.24 eV per atom.

a = 3.886 Å, b = 3.886 Å, c = 13.428 Å
α = 90.00°, β = 90.00°, γ = 90.00°
Positions (direct):
Sc: 0.500 0.000 0.112
Sc: 0.000 0.500 0.888
S: 0.500 0.000 0.911
S: 0.000 0.500 0.713
S: 0.500 0.000 0.287
S: 0.000 0.500 0.089
O: 0.000 0.000 0.500
O: 0.500 0.500 0.500
Pr: 0.500 0.000 0.596
Pr: 0.000 0.500 0.404